Entry 1:
Material: KBaTl2
Method: DFT, meta-GGA SCAN
State: single point on PBEsol structure

## Properties
final energy: -1.783 hartree per atom
spin magnetization: 0.00 μB/cell
mass density: 6.953 Mg/m³
calculated formation energy: -0.36 eV per atom
calculated volume: 140 Å³/cell

Cell: 3.932 5.731 6.201 Å, 90.00 90.00 90.00°
Space group Pmm2 (No. 25)
Inequivalent atoms, fractional coordinates:
1 K 0.000 0.000 0.000
2 Ba 0.000 0.500 0.590
3 Tl 0.500 0.000 0.467
4 Tl 0.500 0.500 0.117

=====

Entry 2:
Material: KTePt2
Method: DFT, meta-GGA SCAN
State: single point on PBEsol structure

## Properties
final energy: -1.721 hartree per atom
spin magnetization: 0.00 μB/cell
mass density: 8.757 Mg/m³
formation energy (no corrections): -345 meV/atom
calculated volume: 317 Å³/cell

Cell: 4.6112 4.6112 17.2037 Å, 90.00 90.00 120.00°
Space group R-3m (No. 166, hexagonal axes)
Inequivalent atoms, fractional coordinates:
1 K 0.0000 0.0000 0.0000
2 Te 0.0000 0.0000 0.5000
3 Pt 0.0000 0.0000 0.1883

=====

Entry 3:
Material: La2TaCo
Method: DFT, meta-GGA SCAN
State: single point on PBEsol structure

## Properties
final energy: -1.554 hartree per atom
spin magnetization: 0.00 μB/cell
mass density: 9.184 Mg/m³
calculated formation energy: 0.24 eV per atom
calculated volume: 187 Å³/cell

Cell: 3.404 4.945 11.120 Å, 90.00 90.00 90.00°
Space group Imm2 (No. 44)
Inequivalent atoms, fractional coordinates:
1 La 0.000 0.000 0.000
2 La 0.000 0.500 0.205
3 Ta 0.000 0.500 0.798
4 Co 0.000 0.000 0.441

=====

Entry 4:
Material: CuAs2Se
Method: DFT, meta-GGA SCAN
State: single point on PBEsol structure

## Properties
final energy: -0.678 hartree per atom
spin magnetization: 0.00 μB/cell
mass density: 7.146 Mg/m³
formation energy (no corrections): 473 meV/atom
calculated volume: 68 Å³/cell

Cell: 3.118 4.578 4.759 Å, 90.00 90.00 90.00°
Space group Pmmm (No. 47)
Inequivalent atoms, fractional coordinates:
1 Cu 0.000 0.000 0.000
2 As 0.000 0.500 0.500
3 As 0.500 0.500 0.000
4 Se 0.500 0.000 0.500

=====

Entry 5:
Material: Ti4MnP6O24
Method: DFT, meta-GGA SCAN
State: single point on PBEsol structure

## Properties
final energy: -0.411 hartree per atom
spin magnetization: 15.00 μB/cell
mass density: 3.048 Mg/m³
formation energy (no corrections): -2786 meV/atom
calculated volume: 1334 Å³/cell

Cell: 8.5896 8.5896 20.8812 Å, 90.00 90.00 120.00°
Space group R-3 (No. 148, hexagonal axes)
Inequivalent atoms, fractional coordinates:
1 Ti 0.0000 0.0000 0.1329
2 Ti 0.0000 0.0000 0.3539
3 Mn 0.0000 0.0000 0.5000
4 P 0.0069 0.2907 0.2465
5 O 0.0092 0.1902 0.3079
6 O 0.0162 0.1928 0.1874
7 O 0.0243 0.8408 0.4215
8 O 0.0275 0.1980 0.9170

=====

Entry 6:
Material: RbTcPt2S
Method: DFT, meta-GGA SCAN
State: single point on PBEsol structure

## Properties
final energy: -1.475 hartree per atom
spin magnetization: 4.08 μB/cell
mass density: 9.106 Mg/m³
formation energy (no corrections): 1028 meV/atom
calculated volume: 110 Å³/cell

Cell: 4.489 4.489 5.482 Å, 90.00 90.00 90.00°
Space group P4/mmm (No. 123)
Inequivalent atoms, fractional coordinates:
1 Rb 0.000 0.000 0.000
2 Tc 0.500 0.500 0.000
3 Pt 0.000 0.500 0.500
4 S 0.000 0.000 0.500

=====

Entry 7:
Material: ZrGa2Rh
Method: DFT, meta-GGA SCAN
State: single point on PBEsol structure

## Properties
final energy: -0.913 hartree per atom
spin magnetization: 3.88 μB/cell
mass density: 8.823 Mg/m³
calculated formation energy: -0.55 eV per atom
calculated volume: 251 Å³/cell

Cell: 6.309 6.309 6.309 Å, 90.00 90.00 90.00°
Space group Fm-3m (No. 225)
Inequivalent atoms, fractional coordinates:
1 Zr 0.000 0.000 0.000
2 Ga 0.250 0.250 0.250
3 Rh 0.000 0.000 0.500

=====

Entry 8:
Material: ZrMnIn2
Method: DFT, meta-GGA SCAN
State: single point on PBEsol structure

## Properties
final energy: -1.067 hartree per atom
spin magnetization: 11.83 μB/cell
mass density: 7.788 Mg/m³
calculated formation energy: -0.11 eV per atom
calculated volume: 240 Å³/cell

Cell: 3.1317 3.1317 28.3014 Å, 90.00 90.00 120.00°
Space group R-3m (No. 166, hexagonal axes)
Inequivalent atoms, fractional coordinates:
1 Zr 0.0000 0.0000 0.0000
2 Mn 0.0000 0.0000 0.5000
3 In 0.0000 0.0000 0.2439

=====

Entry 9:
Material: NbInGe2
Method: DFT, meta-GGA SCAN
State: single point on PBEsol structure

## Properties
final energy: -0.946 hartree per atom
spin magnetization: 0.02 μB/cell
mass density: 7.932 Mg/m³
calculated formation energy: 0.42 eV per atom
calculated volume: 296 Å³/cell

Cell: 6.661 6.661 6.661 Å, 90.00 90.00 90.00°
Space group Fm-3m (No. 225)
Inequivalent atoms, fractional coordinates:
1 Nb 0.000 0.000 0.000
2 In 0.000 0.000 0.500
3 Ge 0.250 0.250 0.250

=====

Entry 10:
Material: Ca2HgB2
Method: DFT, meta-GGA SCAN
State: single point on PBEsol structure

## Properties
final energy: -0.732 hartree per atom
spin magnetization: 0.01 μB/cell
mass density: 5.814 Mg/m³
calculated formation energy: 0.54 eV per atom
calculated volume: 173 Å³/cell

Cell: 3.031 3.031 18.795 Å, 90.00 90.00 90.00°
Space group I4/mmm (No. 139)
Inequivalent atoms, fractional coordinates:
1 Ca 0.000 0.000 0.129
2 Hg 0.000 0.000 0.500
3 B 0.000 0.500 0.250

=====

Entry 11:
Material: Sr4CaYGa2Cu4O14
Method: DFT, meta-GGA SCAN
State: single point on PBEsol structure

## Properties
final energy: -0.518 hartree per atom
spin magnetization: 0.00 μB/cell
mass density: 5.551 Mg/m³
formation energy (no corrections): -2276 meV/atom
calculated volume: 656 Å³/cell

Cell: 23.527 5.305 5.403 Å, 90.00 103.26 90.00°
Space group C2 (No. 5)
Inequivalent atoms, fractional coordinates:
1 Sr 0.149 0.000 0.161
2 Sr 0.151 0.500 0.637
3 Ca 0.000 0.999 0.000
4 Y 0.000 0.499 0.500
5 Ga 0.250 0.043 0.820
6 Cu 0.074 0.498 0.073
7 Cu 0.074 0.998 0.573
8 O 0.063 0.254 0.319
9 O 0.063 0.745 0.316
10 O 0.066 0.253 0.811
11 O 0.066 0.743 0.810
12 O 0.175 0.476 0.212
13 O 0.176 0.979 0.634
14 O 0.249 0.899 0.139

=====

Entry 12:
Material: LiAs2BrF
Method: DFT, meta-GGA SCAN
State: single point on PBEsol structure

## Properties
final energy: -0.477 hartree per atom
spin magnetization: 0.00 μB/cell
mass density: 4.655 Mg/m³
formation energy (no corrections): 162 meV/atom
calculated volume: 91 Å³/cell

Cell: 4.469 4.469 4.568 Å, 90.00 90.00 90.00°
Space group P4/mmm (No. 123)
Inequivalent atoms, fractional coordinates:
1 Li 0.000 0.000 0.000
2 As 0.000 0.500 0.000
3 Br 0.000 0.000 0.500
4 F 0.500 0.500 0.500

=====

Please write out number 4 again, unchanged.
Material: CuAs2Se
Method: DFT, meta-GGA SCAN
State: single point on PBEsol structure

## Properties
final energy: -0.678 hartree per atom
spin magnetization: 0.00 μB/cell
mass density: 7.146 Mg/m³
formation energy (no corrections): 473 meV/atom
calculated volume: 68 Å³/cell

Cell: 3.118 4.578 4.759 Å, 90.00 90.00 90.00°
Space group Pmmm (No. 47)
Inequivalent atoms, fractional coordinates:
1 Cu 0.000 0.000 0.000
2 As 0.000 0.500 0.500
3 As 0.500 0.500 0.000
4 Se 0.500 0.000 0.500